Here is an optimized crystal structure of CrNiPt2W from Alexandria. Energies are from PBE.

Cell lengths 4.842, 4.489, 4.842 Å; angles 90.00, 90.00, 90.00 degrees
Element x y z (fractional)
W (0.000, 0.000, 0.000)
Pt (0.500, 0.000, 0.000)
Ni (0.000, 0.500, 0.000)
Pt (0.000, 0.000, 0.500)
Cr (0.500, 0.500, 0.500)

Computed properties:
As for the density of states at the Fermi level: 0.831 states/eV per atom. The uncorrected energy comes out at -6.876 eV per atom. The space-group type is No. 123.